Entry 1:
Material: AlGa2Sn2
Method: DFT, PBE
State: optimized geometry

The space group is No. 127. The calculation puts the energy relative to the lowest polymorph listed for this composition at 7 meV per atom. The energy of formation is 188 meV per atom.

a b c (Å): 8.348 8.348 3.360
angles (deg): 90.00 90.00 90.00
Sites, in units of the cell vectors:
Sn (0.330, 0.830, 0.000)
Sn (0.830, 0.670, 0.000)
Sn (0.670, 0.170, 0.000)
Sn (0.170, 0.330, 0.000)
Ga (0.127, 0.627, 0.500)
Ga (0.627, 0.873, 0.500)
Ga (0.873, 0.373, 0.500)
Ga (0.373, 0.127, 0.500)
Al (0.000, 0.000, 0.000)
Al (0.500, 0.500, 0.000)

Entry 2:
Material: Ba2ZnCuAu6
Method: DFT, PBE
State: optimized geometry

The space group is No. 2. The energy of formation is -447 meV per atom.

a b c (Å): 7.031 7.124 7.163
angles (deg): 58.38 60.73 90.15
Sites, in units of the cell vectors:
Ba (0.781, 0.218, 0.438)
Ba (0.219, 0.782, 0.562)
Zn (0.000, 0.000, 0.000)
Cu (0.500, 0.500, 0.000)
Au (0.250, 0.331, 0.499)
Au (0.668, 0.749, 0.081)
Au (0.252, 0.750, 0.078)
Au (0.748, 0.250, 0.922)
Au (0.332, 0.251, 0.919)
Au (0.750, 0.669, 0.501)

Entry 3:
Material: Ag2Pd2Au
Method: DFT, PBE
State: optimized geometry

The space group is No. 127. The calculation puts the energy relative to the lowest polymorph listed for this composition at 145 meV per atom. The energy of formation is 145 meV per atom.

a b c (Å): 7.840 7.840 2.884
angles (deg): 90.00 90.00 90.00
Sites, in units of the cell vectors:
Au (0.000, 0.000, 0.000)
Au (0.500, 0.500, 0.000)
Pd (0.169, 0.669, 0.500)
Pd (0.669, 0.831, 0.500)
Pd (0.831, 0.331, 0.500)
Pd (0.331, 0.169, 0.500)
Ag (0.372, 0.872, 0.000)
Ag (0.872, 0.628, 0.000)
Ag (0.628, 0.128, 0.000)
Ag (0.128, 0.372, 0.000)

Entry 4:
Material: LiYGeO2
Method: DFT, PBE
State: optimized geometry

The space group is No. 123.

a b c (Å): 4.348 5.886 4.348
angles (deg): 90.00 90.00 90.00
Sites, in units of the cell vectors:
Y (0.000, 0.000, 0.000)
Ge (0.000, 0.500, 0.000)
O (0.000, 0.000, 0.500)
O (0.500, 0.000, 0.000)
Li (0.500, 0.500, 0.500)

Entry 5:
Material: AuI3F
Method: DFT, PBE
State: optimized geometry

The space group is No. 221. The calculation puts the energy relative to the lowest polymorph listed for this composition at 432 meV per atom.

a b c (Å): 5.600 5.600 5.600
angles (deg): 90.00 90.00 90.00
Sites, in units of the cell vectors:
I (0.000, 0.500, 0.000)
I (0.000, 0.000, 0.500)
I (0.500, 0.000, 0.000)
Au (0.000, 0.000, 0.000)
F (0.500, 0.500, 0.500)

Entry 6:
Material: Tb2Pm2Ho2Tm
Method: DFT, PBE
State: optimized geometry

The space group is No. 166. The energy of formation is 139 meV per atom.

a b c (Å): 5.667 5.667 8.803
angles (deg): 71.22 71.22 60.00
Sites, in units of the cell vectors:
Tb (0.714, 0.714, 0.859)
Tb (0.286, 0.286, 0.141)
Pm (0.139, 0.139, 0.584)
Pm (0.861, 0.861, 0.416)
Ho (0.572, 0.572, 0.283)
Ho (0.428, 0.428, 0.717)
Tm (0.000, 0.000, 0.000)

| no. | final energy (eV/atom) | D(E_F) (states/eV/atom) |
| --- | --- | --- |
| 1 | -3.37 | 0.53 |
| 2 | -3.33 | 0.29 |
| 3 | -3.73 | 0.35 |
| 4 | -5.44 | 1.02 |
| 5 | -1.79 | 2.19 |
| 6 | -4.49 | 2.41 |